(1)
! CuMoAs2 PBE optimized geometry; values from VASP
! magnetic moment	0.00	μB/f.u.
! DFT formation energy	0.06	eV per atom
! SG	P4mm, No. 99
! mass density	8.11	g cm⁻³
! offset from the most stable computed form	7.5	kJ/mol of atoms
&SYSTEM
  ibrav = 0, nat = 4, ntyp = 3
/
ATOMIC_SPECIES
As 74.92 As.upf
Cu 63.55 Cu.upf
Mo 95.94 Mo.upf
CELL_PARAMETERS angstrom
-0.8128 -3.3240 -0.5853
2.7170 -0.2875 -2.1401
3.0288 -1.4520 4.0403
ATOMIC_POSITIONS crystal
As 0.0000 0.0000 0.9535
As 0.5000 0.5000 0.3099
Cu 0.0000 0.0000 0.4565
Mo 0.5000 0.5000 0.7800

---

(2)
! MgMnAl2Pt4 PBE optimized geometry; values from VASP
! magnetic moment	4.09	μB/f.u.
! DFT formation energy	-0.82	eV per atom
! SG	R-3m, No. 166
! mass density	12.63	g cm⁻³
&SYSTEM
  ibrav = 0, nat = 8, ntyp = 4
/
ATOMIC_SPECIES
Mg 24.30 Mg.upf
Mn 54.94 Mn.upf
Al 26.98 Al.upf
Pt 195.08 Pt.upf
CELL_PARAMETERS angstrom
4.3960 0.0000 0.0000
2.1980 3.8071 0.0000
2.1980 1.2690 7.1792
ATOMIC_POSITIONS crystal
Mg 0.0000 0.0000 0.0000
Mn 0.5000 0.5000 0.5000
Al 0.7499 0.7499 0.7502
Al 0.2501 0.2501 0.2498
Pt 0.3765 0.3765 0.8704
Pt 0.8732 0.8732 0.3805
Pt 0.1268 0.1268 0.6195
Pt 0.6235 0.6235 0.1296